Entry 1:
# ReOs6

A relaxed ReOs6 crystal (PBE, the Alexandria database).

## Properties
- symmetry = No. 148
- energy of formation (eV/atom) = 0.40
- N(E_F) (states/eV/atom) = 0.7844
- DFT total energy (eV/cell) = -77.02

```
ReOs6
1.0
1.816 6.113 -2.056
-6.154 -0.793 2.528
4.803 -4.234 1.972
Re Os
1 6
Direct
0.500 0.500 0.500 Re
0.899 0.201 0.766 Os
0.201 0.766 0.899 Os
0.234 0.101 0.799 Os
0.766 0.899 0.201 Os
0.799 0.234 0.101 Os
0.101 0.799 0.234 Os
```

***

Entry 2:
# TiMnNbAl

A relaxed TiMnNbAl crystal (PBE, the Alexandria database).

## Properties
- symmetry = No. 216
- energy of formation (eV/atom) = -0.17
- N(E_F) (states/eV/atom) = 1.0761
- DFT total energy (eV/cell) = -31.56

```
TiMnNbAl
1.0
4.386 0.000 0.000
2.193 3.798 0.000
2.193 1.266 3.581
Nb Mn Al Ti
1 1 1 1
Direct
0.250 0.250 0.250 Nb
0.000 0.000 0.000 Mn
0.750 0.750 0.750 Al
0.500 0.500 0.500 Ti
```

***

Entry 3:
# Ta14VW

A relaxed Ta14VW crystal (PBE, the Alexandria database).

## Properties
- symmetry = No. 65
- energy of formation (eV/atom) = 0.00
- N(E_F) (states/eV/atom) = 1.3473
- DFT total energy (eV/cell) = -188.02

```
Ta14VW
1.0
-4.528 1.612 3.083
-1.704 -1.348 -5.280
-1.319 -8.824 2.678
Ta V W
14 1 1
Direct
0.125 0.875 0.000 Ta
0.625 0.375 0.000 Ta
0.125 0.375 0.500 Ta
0.125 0.375 0.000 Ta
0.625 0.875 0.500 Ta
0.625 0.875 0.000 Ta
0.375 0.125 0.740 Ta
0.375 0.125 0.260 Ta
0.875 0.625 0.740 Ta
0.875 0.625 0.260 Ta
0.376 0.624 0.751 Ta
0.376 0.624 0.249 Ta
0.874 0.126 0.751 Ta
0.874 0.126 0.249 Ta
0.625 0.375 0.500 V
0.125 0.875 0.500 W
```

***

Entry 4:
# Rb3Nd2NpTe6

A relaxed Rb3Nd2NpTe6 crystal (PBE, the Alexandria database).

## Properties
- symmetry = No. 12
- uncorrected formation energy (eV/f.u.) = -14.708
- N(E_F) (states/eV/atom) = 0.3774
- DFT total energy (eV/cell) = -58.94

```
Rb3Nd2NpTe6
1.0
-5.223 0.164 -6.126
0.847 -6.693 4.395
-4.669 4.882 5.875
Rb Nd Np Te
3 2 1 6
Direct
0.168 0.832 0.500 Rb
0.832 0.168 0.500 Rb
0.500 0.500 0.500 Rb
0.334 0.666 0.000 Nd
0.666 0.334 0.000 Nd
0.000 0.000 0.000 Np
0.932 0.602 0.797 Te
0.737 0.737 0.204 Te
0.068 0.398 0.203 Te
0.602 0.932 0.797 Te
0.263 0.263 0.796 Te
0.398 0.068 0.203 Te
```

***

Entry 5:
# NaTlZn2Cl6

A relaxed NaTlZn2Cl6 crystal (PBE, the Alexandria database).

## Properties
- symmetry = No. 15
- uncorrected formation energy (eV/f.u.) = -12.479
- N(E_F) (states/eV/atom) = 0.0000
- DFT total energy (eV/cell) = -59.59

```
NaTlZn2Cl6
1.0
-4.043 -4.711 2.546
5.465 -1.990 7.419
-5.112 5.920 5.263
Na Tl Zn Cl
2 2 4 12
Direct
0.250 0.295 0.705 Na
0.750 0.705 0.295 Na
0.250 0.899 0.101 Tl
0.750 0.101 0.899 Tl
0.226 0.786 0.619 Zn
0.274 0.381 0.214 Zn
0.774 0.214 0.381 Zn
0.726 0.619 0.786 Zn
0.191 0.977 0.768 Cl
0.309 0.232 0.023 Cl
0.809 0.023 0.232 Cl
0.691 0.768 0.977 Cl
0.385 0.831 0.406 Cl
0.115 0.594 0.169 Cl
0.615 0.169 0.594 Cl
0.885 0.406 0.831 Cl
0.903 0.716 0.587 Cl
0.597 0.413 0.284 Cl
0.097 0.284 0.413 Cl
0.403 0.587 0.716 Cl
```

***

Entry 6:
# Tl2SiAs5

A relaxed Tl2SiAs5 crystal (PBE, the Alexandria database).

## Properties
- symmetry = No. 1
- uncorrected formation energy (eV/f.u.) = 1.154
- N(E_F) (states/eV/atom) = 0.2129
- DFT total energy (eV/cell) = -32.25

```
Tl2SiAs5
1.0
-2.487 2.741 4.747
5.114 -2.281 4.550
1.690 3.736 -6.305
Tl Si As
2 1 5
Direct
0.260 0.710 0.562 Tl
0.662 0.298 0.567 Tl
0.060 0.173 0.168 Si
0.628 0.227 0.926 As
0.159 0.207 0.912 As
0.017 0.807 0.083 As
0.425 0.801 0.090 As
0.566 0.553 0.245 As
```

***

- Among the records above, which one has the highest DFT total energy?
  TiMnNbAl

***

- Among the records above, which one has the lowest N(E_F)?
  NaTlZn2Cl6

***

- What is the N(E_F) in the fifth record?
  0.0000 states/eV/atom

***

- Which formula does entry 1 have?
  ReOs6